No. 1
# Cs2MgInH6

A relaxed Cs2MgInH6 crystal (PBE, Alexandria via LeMat-Bulk).

total moment	0.00	Bohr magnetons per cell
N(E_F)	0.5	states/eV/cell
space group	I4/mmm
raw total energy	-2.678	eV per atom

```
Cs2MgInH6
1.0
-4.382 -2.180 3.684
-1.286 -4.356 -4.110
0.068 -5.906 1.676
Cs Mg In H
2 1 1 6
Cartesian
-3.574 -5.677 2.574
-2.026 -6.765 -1.324
0.000 0.000 0.000
-2.834 -3.268 -0.213
-1.349 -4.622 0.754
-4.284 -4.946 -0.321
-2.040 -3.826 -2.211
-3.627 -2.711 1.785
-1.315 -7.497 1.570
-4.250 -7.821 0.495
```

=====

No. 2
# Cs2MnInH6

A relaxed Cs2MnInH6 crystal (PBE, Alexandria via LeMat-Bulk).

total moment	4.05	Bohr magnetons per cell
N(E_F)	1.5	states/eV/cell
space group	C2/m
raw total energy	-3.365	eV per atom

```
Cs2MnInH6
1.0
6.213 0.006 0.000
0.006 6.213 0.000
3.109 3.109 4.391
Cs Mn In H
2 1 1 6
Cartesian
6.216 3.113 2.195
3.112 6.216 2.195
6.219 6.219 4.390
6.213 0.006 0.000
3.111 3.111 1.776
4.371 4.371 0.004
1.852 4.366 0.000
4.366 1.852 0.000
4.957 4.957 4.386
6.217 6.217 2.615
```

=====

No. 3
# Cs2NaIn2H6

A relaxed Cs2NaIn2H6 crystal (PBE, Alexandria via LeMat-Bulk).

total moment	0.00	Bohr magnetons per cell
N(E_F)	2.7	states/eV/cell
space group	C2/m
raw total energy	-2.643	eV per atom

```
Cs2NaIn2H6
1.0
6.247 0.000 0.000
-3.124 5.618 -0.741
0.000 -3.985 7.688
Cs Na In H
2 1 2 6
Cartesian
3.124 1.552 1.659
0.000 0.081 5.288
3.124 -1.993 3.844
3.124 2.129 5.542
0.000 -0.496 1.405
3.124 0.485 4.618
1.441 -1.230 2.390
-1.682 2.863 4.557
1.682 2.863 4.557
4.806 -1.230 2.390
0.000 1.147 2.329
```

=====

No. 4
# CsIn3H6Se6O20

A relaxed CsIn3H6Se6O20 crystal (PBE, Alexandria via LeMat-Bulk).

total moment	0.00	Bohr magnetons per cell
N(E_F)	0.0	states/eV/cell
space group	Pnma
raw total energy	-5.247	eV per atom

```
CsIn3H6Se6O20
1.0
9.786 0.000 0.000
0.000 13.429 0.000
0.000 0.000 16.931
Cs In H Se O
4 12 24 24 80
Cartesian
0.075 10.072 3.567
4.818 10.072 12.032
9.711 3.357 13.364
4.968 3.357 4.898
5.494 10.072 7.560
9.185 10.072 16.025
4.292 3.357 9.371
0.601 3.357 0.906
1.789 0.002 6.363
3.104 6.712 14.829
7.997 6.717 10.568
6.682 13.427 2.102
7.997 13.427 10.568
6.682 6.717 2.102
1.789 6.712 6.363
3.104 0.002 14.829
1.005 12.103 0.366
3.888 8.041 8.831
8.781 5.388 16.565
5.898 1.326 8.100
8.781 1.326 16.565
5.898 5.388 8.100
1.005 8.041 0.366
3.888 12.103 8.831
1.979 12.916 3.226
2.914 7.228 11.691
7.807 6.201 13.705
6.872 0.513 5.240
7.807 0.513 13.705
6.872 6.201 5.240
1.979 7.228 3.226
2.914 12.916 11.691
9.368 12.197 1.096
5.311 7.947 9.561
0.418 5.482 15.835
4.475 1.233 7.370
0.418 1.233 15.835
4.475 5.482 7.370
9.368 7.947 1.096
5.311 12.197 9.561
4.852 12.191 4.983
0.041 7.953 13.448
4.934 5.476 11.948
9.745 1.238 3.482
4.934 1.238 11.948
9.745 5.476 3.482
4.852 7.953 4.983
0.041 12.191 13.448
1.863 10.072 7.137
3.030 10.072 15.603
7.923 3.357 9.794
6.756 3.357 1.328
6.454 10.072 1.288
8.225 10.072 9.754
3.332 3.357 15.643
1.561 3.357 7.177
8.235 13.383 7.059
6.444 6.761 15.525
1.551 6.669 9.872
3.342 0.046 1.406
1.551 0.046 9.872
3.342 6.669 1.406
8.235 6.761 7.059
6.444 13.383 15.525
6.000 11.661 6.159
8.679 8.483 14.624
3.786 4.946 10.772
1.107 1.768 2.307
3.786 1.768 10.772
1.107 4.946 2.307
6.000 8.483 6.159
8.679 11.661 14.624
2.621 12.385 2.622
2.272 7.759 11.087
7.165 5.670 14.309
7.514 1.044 5.844
7.165 1.044 14.309
7.514 5.670 5.844
2.621 7.759 2.622
2.272 12.385 11.087
7.302 8.789 2.081
7.377 11.355 10.547
2.484 2.074 14.850
2.409 4.640 6.384
2.484 4.640 14.850
2.409 2.074 6.384
7.302 11.355 2.081
7.377 8.789 10.547
2.468 12.926 0.015
2.425 7.218 8.480
7.318 6.211 16.916
7.361 0.504 8.451
7.318 0.504 16.916
7.361 6.211 8.451
2.468 7.218 0.015
2.425 12.926 8.480
3.529 10.072 6.634
1.364 10.072 15.099
6.257 3.357 10.297
8.422 3.357 1.832
1.222 8.784 6.171
3.671 11.360 14.636
8.564 2.069 10.760
6.115 4.646 2.295
8.564 4.646 10.760
6.115 2.069 2.295
1.222 11.360 6.171
3.671 8.784 14.636
4.824 12.621 1.266
0.069 7.523 9.732
4.962 5.907 15.665
9.717 0.808 7.199
4.962 0.808 15.665
9.717 5.907 7.199
4.824 7.523 1.266
0.069 12.621 9.732
0.174 11.588 0.595
4.719 8.556 9.061
9.612 4.873 16.336
5.067 1.842 7.870
9.612 1.842 16.336
5.067 4.873 7.870
0.174 8.556 0.595
4.719 11.588 9.061
5.890 13.348 4.172
8.789 6.796 12.638
3.896 6.634 12.759
0.997 0.081 4.293
3.896 0.081 12.759
0.997 6.634 4.293
5.890 6.796 4.172
8.789 13.348 12.638
3.907 13.316 5.900
0.985 6.828 14.365
5.878 6.601 11.031
8.800 0.113 2.566
5.878 0.113 11.031
8.800 6.601 2.566
3.907 6.828 5.900
0.985 13.316 14.365
7.532 10.072 8.170
7.147 10.072 16.636
2.254 3.357 8.761
2.639 3.357 0.295
```

=====

No. 5
# CsInH2Se2O8

A relaxed CsInH2Se2O8 crystal (PBE, Alexandria via LeMat-Bulk).

total moment	0.00	Bohr magnetons per cell
N(E_F)	0.0	states/eV/cell
space group	C2/c
raw total energy	-4.961	eV per atom

```
CsInH2Se2O8
1.0
1.454 2.102 9.231
7.273 -4.848 -3.917
6.002 4.709 0.167
Cs In H Se O
2 2 4 4 16
Cartesian
6.444 -0.889 1.388
8.285 2.851 4.093
4.371 1.588 6.074
10.359 0.374 -0.593
5.762 5.381 8.883
8.967 -3.418 -3.402
6.461 5.512 9.123
8.268 -3.550 -3.642
3.613 1.877 3.234
11.116 0.086 2.248
6.539 -0.386 5.725
8.190 2.349 -0.244
3.725 0.652 2.157
11.004 1.311 3.324
7.491 -0.432 4.397
7.238 2.395 1.084
5.071 2.296 4.005
9.658 -0.333 1.477
4.873 -0.556 5.425
9.856 2.519 0.057
2.689 1.436 4.610
12.040 0.527 0.872
6.532 1.167 6.452
8.197 0.796 -0.971
10.219 -1.599 -1.420
4.510 3.562 6.901
11.584 1.052 -2.218
3.146 0.911 7.699
```

=====

No. 6
# Cs2InPH

A relaxed Cs2InPH crystal (PBE, Alexandria via LeMat-Bulk).

total moment	0.65	Bohr magnetons per cell
N(E_F)	5.2	states/eV/cell
space group	P2_1/m
raw total energy	-2.825	eV per atom

```
Cs2InPH
1.0
4.349 0.000 0.000
0.000 7.333 -0.831
0.000 -4.194 11.484
Cs In P H
4 2 2 2
Cartesian
3.262 3.501 5.778
3.262 5.393 0.436
1.087 -0.362 4.876
1.087 -2.254 10.218
1.087 1.121 8.530
3.262 2.018 2.124
1.087 3.342 2.699
3.262 -0.203 7.955
1.087 2.717 7.514
3.262 0.422 3.139
```

=====

No. 7
# Cs2InPH

A relaxed Cs2InPH crystal (PBE, Alexandria via LeMat-Bulk).

total moment	0.00	Bohr magnetons per cell
N(E_F)	3.8	states/eV/cell
space group	P4/mmm
raw total energy	-2.357	eV per atom

```
Cs2InPH
1.0
-2.202 -6.493 -2.603
1.091 -1.530 2.893
-6.600 1.023 3.030
Cs P H In
2 1 1 1
Cartesian
-3.300 0.512 1.515
-1.101 -3.247 -1.302
0.000 0.000 0.000
0.546 -0.765 1.446
-3.855 -3.500 1.660
```

=====

No. 8
# Cs2RbInH

A relaxed Cs2RbInH crystal (PBE, Alexandria via LeMat-Bulk).

total moment	0.00	Bohr magnetons per cell
N(E_F)	4.2	states/eV/cell
space group	P4/mmm
raw total energy	-1.733	eV per atom

```
Cs2RbInH
1.0
-2.255 5.517 -1.764
-5.746 -2.370 -0.066
-0.701 1.541 5.717
Cs H Rb In
2 1 1 1
Cartesian
-2.873 -1.185 -0.033
-1.128 2.758 -0.882
0.000 0.000 0.000
-0.351 0.771 2.859
-4.351 2.344 1.943
```

=====

No. 9
# Cs2RbIn2H6

A relaxed Cs2RbIn2H6 crystal (PBE, Alexandria via LeMat-Bulk).

total moment	0.00	Bohr magnetons per cell
N(E_F)	3.4	states/eV/cell
space group	C2/m
raw total energy	-2.617	eV per atom

```
Cs2RbIn2H6
1.0
6.567 0.000 0.000
-3.284 6.141 -1.056
0.000 -4.873 7.621
Cs Rb In H
2 1 2 6
Cartesian
3.284 1.673 1.100
0.000 -0.406 5.466
3.284 -2.437 3.811
3.284 1.960 5.328
0.000 -0.692 1.237
3.284 0.681 4.008
-1.854 4.379 0.709
1.429 -3.112 5.856
5.138 -3.112 5.856
1.854 4.379 0.709
0.000 0.586 2.557
```

=====

No. 10
# CsRb2InH

A relaxed CsRb2InH crystal (PBE, Alexandria via LeMat-Bulk).

total moment	0.00	Bohr magnetons per cell
N(E_F)	3.7	states/eV/cell
space group	P4/mmm
raw total energy	-1.753	eV per atom

```
CsRb2InH
1.0
5.924 0.000 0.000
0.000 5.924 0.000
0.000 0.000 6.227
Cs H Rb In
1 1 2 1
Cartesian
0.000 0.000 3.113
0.000 0.000 0.000
0.000 2.962 0.000
2.962 0.000 0.000
2.962 2.962 3.113
```

=====

No. 11
# Cs2InHRu

A relaxed Cs2InHRu crystal (PBE, Alexandria via LeMat-Bulk).

total moment	1.41	Bohr magnetons per cell
N(E_F)	8.4	states/eV/cell
space group	P4/mmm
raw total energy	-2.714	eV per atom

```
Cs2InHRu
1.0
6.636 0.000 0.000
0.000 3.620 0.000
0.000 0.000 6.636
Cs Ru H In
2 1 1 1
Cartesian
0.000 0.000 3.318
3.318 0.000 0.000
0.000 1.810 0.000
0.000 0.000 0.000
3.318 1.810 3.318
```

=====

No. 12
# CsInSbH

A relaxed CsInSbH crystal (PBE, Alexandria via LeMat-Bulk).

total moment	0.00	Bohr magnetons per cell
N(E_F)	0.1	states/eV/cell
space group	Pm
raw total energy	-2.847	eV per atom

```
CsInSbH
1.0
-1.179 0.871 -5.153
1.211 -4.382 -1.017
-6.028 -1.922 1.054
Cs In Sb H
1 1 1 1
Cartesian
-2.587 -2.068 -2.543
0.690 -4.036 -0.839
-4.573 -3.332 0.483
-1.022 -4.578 -0.540
```

=====

Q: The lowest raw total energy belongs to which entry?
A: CsIn3H6Se6O20

=====

Q: Which of these has the highest N(E_F)?
A: Cs2InHRu